Density functional theory data (GGA+U) for a relaxed Ba3CdCo2O6 crystal.

Lattice parameters (Å, degrees): 6.1760 6.1760 7.0134 90.00 90.00 120.00
Element x y z (fractional)
Ba 0.0000 0.0000 0.0000
Ba 0.3333 0.6667 0.6715
Ba 0.6667 0.3333 0.3285
Cd 0.0000 0.0000 0.5000
Co 0.3333 0.6667 0.2382
Co 0.6667 0.3333 0.7618
O 0.1663 0.3326 0.2858
O 0.1663 0.8337 0.2858
O 0.3326 0.1663 0.7142
O 0.6674 0.8337 0.2858
O 0.8337 0.1663 0.7142
O 0.8337 0.6674 0.7142

Output
- space-group type = P-3m1, No. 164
- total moment (μB/cell) = 6.02
- VASP energy (eV per atom) = -5.46